A geometry-optimized SmErTm structure, computed with PBE.

- Total magnetic moment: 0.00 μB/f.u.
- Energy of formation: 0.04 eV/atom
- Symmetry: P2_1/m (11)
- E above lowest polymorph: 33 meV per atom

abc: 3.507 5.361 10.212
angles: 90.00 99.87 90.00
Sites, in units of the cell vectors:
Sm 0.206 0.250 0.412
Sm 0.794 0.750 0.588
Er 0.386 0.250 0.772
Er 0.614 0.750 0.228
Tm 0.041 0.250 0.081
Tm 0.959 0.750 0.919


A geometry-optimized Sm4Er5Tm structure, computed with PBE.

- Total magnetic moment: 0.00 μB/f.u.
- Energy of formation: 0.19 eV/atom
- Symmetry: P-1 (2)
- E above lowest polymorph: 0 meV per atom

abc: 3.506 8.703 11.084
angles: 90.05 90.01 101.56
Sites, in units of the cell vectors:
Sm 0.030 0.061 0.250
Sm 0.345 0.689 0.250
Sm 0.655 0.311 0.750
Sm 0.970 0.939 0.750
Er 0.173 0.347 0.051
Er 0.173 0.347 0.448
Er 0.500 0.000 0.500
Er 0.827 0.653 0.552
Er 0.827 0.653 0.949
Tm 0.500 0.000 0.000


A geometry-optimized SmEr5Tm4 structure, computed with PBE.

- Total magnetic moment: 0.00 μB/f.u.
- Energy of formation: 0.31 eV/atom
- Symmetry: I4 (79)
- E above lowest polymorph: 263 meV per atom

abc: 7.777 7.777 7.777
angles: 99.34 99.34 132.49
Sites, in units of the cell vectors:
Sm 0.000 0.000 0.000
Er 0.456 0.456 0.000
Er 0.492 0.869 0.908
Er 0.583 0.492 0.623
Er 0.869 0.961 0.377
Er 0.961 0.583 0.092
Tm 0.178 0.880 0.601
Tm 0.279 0.577 0.399
Tm 0.577 0.178 0.298
Tm 0.880 0.279 0.702


A geometry-optimized Sm8Er3Tm2 structure, computed with PBE.

- Total magnetic moment: 0.00 μB/f.u.
- Energy of formation: 0.21 eV/atom
- Symmetry: C2/m (12)

abc: 10.761 10.761 5.669
angles: 90.02 90.02 41.90
Sites, in units of the cell vectors:
Sm 0.100 0.687 0.000
Sm 0.172 0.172 0.501
Sm 0.313 0.900 0.000
Sm 0.368 0.368 0.500
Sm 0.632 0.632 0.500
Sm 0.687 0.100 0.000
Sm 0.828 0.828 0.499
Sm 0.900 0.313 0.000
Er 0.214 0.786 0.500
Er 0.500 0.500 0.000
Er 0.786 0.214 0.500
Tm 0.260 0.260 0.001
Tm 0.740 0.740 0.999


A geometry-optimized Sm7Er3Tm structure, computed with PBE.

- Total magnetic moment: 0.00 μB/f.u.
- Energy of formation: 0.12 eV/atom
- Symmetry: P2/m (10)
- E above lowest polymorph: 0 meV per atom

abc: 7.037 5.589 9.951
angles: 90.00 110.59 90.00
Sites, in units of the cell vectors:
Sm 0.000 0.000 0.000
Sm 0.146 0.500 0.292
Sm 0.321 0.500 0.640
Sm 0.415 0.000 0.829
Sm 0.585 0.000 0.171
Sm 0.679 0.500 0.360
Sm 0.854 0.500 0.708
Er 0.000 0.000 0.500
Er 0.279 0.500 0.000
Er 0.721 0.500 0.000
Tm 0.500 0.000 0.500


A geometry-optimized Sm4Er2Tm5 structure, computed with PBE.

- Total magnetic moment: 0.00 μB/f.u.
- Energy of formation: 0.23 eV/atom
- Symmetry: C2/m (12)
- E above lowest polymorph: 122 meV per atom

abc: 12.020 12.020 8.782
angles: 99.64 99.64 16.69
Sites, in units of the cell vectors:
Sm 0.028 0.028 0.194
Sm 0.371 0.371 0.966
Sm 0.629 0.629 0.034
Sm 0.972 0.972 0.806
Er 0.102 0.102 0.690
Er 0.898 0.898 0.310
Tm 0.183 0.183 0.400
Tm 0.232 0.232 0.828
Tm 0.500 0.500 0.500
Tm 0.768 0.768 0.172
Tm 0.817 0.817 0.600


A geometry-optimized Sm5Er2Tm3 structure, computed with PBE.

- Total magnetic moment: 0.00 μB/f.u.
- Energy of formation: 0.19 eV/atom
- Symmetry: C2/c (15)
- E above lowest polymorph: 0 meV per atom

abc: 9.312 9.312 9.688
angles: 108.32 108.32 110.19
Sites, in units of the cell vectors:
Sm 0.026 0.974 0.750
Sm 0.149 0.376 0.773
Sm 0.232 0.768 0.750
Sm 0.271 0.729 0.250
Sm 0.376 0.149 0.273
Sm 0.624 0.851 0.727
Sm 0.729 0.271 0.750
Sm 0.768 0.232 0.250
Sm 0.851 0.624 0.227
Sm 0.974 0.026 0.250
Er 0.226 0.462 0.450
Er 0.462 0.226 0.950
Er 0.538 0.774 0.050
Er 0.774 0.538 0.550
Tm 0.024 0.268 0.052
Tm 0.268 0.024 0.552
Tm 0.469 0.531 0.250
Tm 0.531 0.469 0.750
Tm 0.732 0.976 0.448
Tm 0.976 0.732 0.948


A geometry-optimized Sm5Er2Tm12 structure, computed with PBE.

- Total magnetic moment: 0.00 μB/f.u.
- Energy of formation: 0.02 eV/atom
- Symmetry: P-1 (2)
- E above lowest polymorph: 0 meV per atom

abc: 6.105 9.333 10.576
angles: 101.03 95.63 90.03
Sites, in units of the cell vectors:
Sm 0.000 0.000 0.000
Sm 0.158 0.632 0.947
Sm 0.263 0.053 0.579
Sm 0.737 0.947 0.421
Sm 0.842 0.368 0.053
Er 0.420 0.682 0.526
Er 0.580 0.318 0.474
Tm 0.054 0.212 0.317
Tm 0.104 0.422 0.631
Tm 0.211 0.841 0.263
Tm 0.317 0.263 0.895
Tm 0.369 0.473 0.212
Tm 0.474 0.894 0.842
Tm 0.526 0.106 0.158
Tm 0.631 0.527 0.788
Tm 0.683 0.737 0.105
Tm 0.789 0.159 0.737
Tm 0.896 0.578 0.369
Tm 0.946 0.788 0.683